The following is a DFT calculation (PBE) of a relaxed GdAgMo crystal.

Calculated values
**E**: -5.148 eV per atom

Cell: 6.6643 6.6643 6.6643 Å, 90.00 90.00 90.00°
With the nearest neighbours (Å) after each atom.
Space group F-43m (No. 216)
Inequivalent atoms, fractional coordinates:
Gd (0.0000, 0.0000, 0.0000) x4  4 Mo 2.89
Ag (0.0000, 0.0000, 0.5000) x4  4 Mo 2.89
Mo (0.2500, 0.2500, 0.7500) x4  4 Gd 2.89, 4 Ag 2.89

The following is a DFT calculation (PBE) of a relaxed NaGdAg crystal.

Calculated values
**Relative energy among the computed polymorphs**: 0.0 kJ/mol of atoms
**E**: -2.798 eV per atom

Cell: 7.0025 7.0025 7.0025 Å, 90.00 90.00 90.00°
With the nearest neighbours (Å) after each atom.
Space group F-43m (No. 216)
Inequivalent atoms, fractional coordinates:
Na (0.0000, 0.0000, 0.0000) x4  4 Ag 3.03
Gd (0.0000, 0.0000, 0.5000) x4  4 Ag 3.03
Ag (0.2500, 0.2500, 0.7500) x4  4 Gd 3.03, 4 Na 3.03